(1)
Crystalline As3W5 at its relaxed geometry. Source: Alexandria, functional PBE-GGA.

Lattice parameters (Å, degrees): 7.3417 7.3417 5.3863 90.00 90.00 120.00
Space group P6_3/mcm (No. 193)
Asymmetric unit:
As  0.0000  0.3951  0.2500 x6
W  0.0000  0.2246  0.7500 x6
W  0.3333  0.6667  0.0000 x4

Output
* raw total energy: -9.348 eV per atom
* energy of formation from the pure elements: 3.93 eV/f.u.
* size of the total moment: 0.0000 μB per atom


(2)
Crystalline As5W at its relaxed geometry. Source: Alexandria, functional PBE-GGA.

Lattice parameters (Å, degrees): 5.0287 5.0287 4.8938 90.00 90.00 120.00
Space group P-62m (No. 189)
Asymmetric unit:
As  0.0000  0.7004  0.0000 x3
As  0.3333  0.6667  0.5000 x2
W  0.0000  0.0000  0.5000 x1

Output
* raw total energy: -5.589 eV per atom
* energy of formation from the pure elements: 2.67 eV/f.u.
* polymorph energy (0 for the lowest one): 0.2951 eV/atom
* size of the total moment: 0.0000 μB per atom


(3)
Crystalline AsW at its relaxed geometry. Source: Alexandria, functional PBE-GGA.

Lattice parameters (Å, degrees): 4.5875 4.5875 7.5789 90.00 90.00 120.00
Space group P6_3/mmc (No. 194)
Asymmetric unit:
As  0.0000  0.0000  0.2500 x2
As  0.3333  0.6667  0.2500 x2
W  0.3333  0.6667  0.5819 x4

Output
* raw total energy: -8.043 eV per atom
* energy of formation from the pure elements: 1.52 eV/f.u.
* size of the total moment: 0.0000 μB per atom


(4)
Crystalline As4W3 at its relaxed geometry. Source: Alexandria, functional PBE-GGA.

Lattice parameters (Å, degrees): 5.3757 5.3757 4.9807 90.00 90.00 120.00
Space group P6/mmm (No. 191)
Asymmetric unit:
As  0.0000  0.0000  0.2501 x2
As  0.3333  0.6667  0.0000 x2
W  0.0000  0.5000  0.5000 x3

Output
* raw total energy: -7.537 eV per atom
* energy of formation from the pure elements: 4.70 eV/f.u.
* size of the total moment: 0.0000 μB per atom


(5)
Crystalline AsW at its relaxed geometry. Source: Alexandria, functional PBE-GGA.

Lattice parameters (Å, degrees): 3.0044 3.0044 30.4615 90.00 90.00 120.00
Space group R-3m (No. 166, hexagonal axes)
Asymmetric unit:
As  0.0000  0.0000  0.1010 x6
W  0.0000  0.0000  0.3684 x6

Output
* raw total energy: -8.648 eV per atom
* energy of formation from the pure elements: 0.31 eV/f.u.
* size of the total moment: 0.0000 μB per atom


(6)
Crystalline As3W at its relaxed geometry. Source: Alexandria, functional PBE-GGA.

Lattice parameters (Å, degrees): 8.9328 3.2624 4.9019 90.00 97.11 90.00
Space group C2/m (No. 12)
Asymmetric unit:
As  0.0000  0.0000  0.0000 x2
As  0.2211  0.0000  0.7131 x4
W  0.0000  0.5000  0.5000 x2

Output
* raw total energy: -6.352 eV per atom
* energy of formation from the pure elements: 1.49 eV/f.u.
* polymorph energy (0 for the lowest one): 0.2793 eV/atom
* size of the total moment: 0.0000 μB per atom


(7)
Crystalline AsW at its relaxed geometry. Source: Alexandria, functional PBE-GGA.

Lattice parameters (Å, degrees): 3.1584 5.0866 4.1029 90.00 90.00 90.00
Space group Cmmm (No. 65)
Asymmetric unit:
As  0.0000  0.0000  0.0000 x2
W  0.0000  0.5000  0.5000 x2

Output
* raw total energy: -8.164 eV per atom
* energy of formation from the pure elements: 1.28 eV/f.u.
* size of the total moment: 0.0000 μB per atom


(8)
Crystalline AsW at its relaxed geometry. Source: Alexandria, functional PBE-GGA.

Lattice parameters (Å, degrees): 3.0194 3.0194 12.1554 90.00 90.00 120.00
Space group R-3m (No. 166, hexagonal axes)
Asymmetric unit:
As  0.0000  0.0000  0.0000 x3
W  0.0000  0.0000  0.5000 x3

Output
* raw total energy: -8.397 eV per atom
* energy of formation from the pure elements: 0.81 eV/f.u.
* size of the total moment: 0.0000 μB per atom


(9)
Crystalline AsW at its relaxed geometry. Source: Alexandria, functional PBE-GGA.

Lattice parameters (Å, degrees): 4.7863 5.9473 9.3543 90.00 90.00 90.00
Space group P2_12_12_1 (No. 19)
Asymmetric unit:
As  0.0868  0.0931  0.2444 x4
As  0.2170  0.5511  0.5213 x4
W  0.0710  0.2483  0.7848 x4
W  0.2209  0.1093  0.5129 x4

Output
* raw total energy: -8.579 eV per atom
* energy of formation from the pure elements: 0.45 eV/f.u.
* size of the total moment: 0.0000 μB per atom


(10)
Crystalline As3W at its relaxed geometry. Source: Alexandria, functional PBE-GGA.

Lattice parameters (Å, degrees): 6.0621 6.0621 4.5983 90.00 90.00 120.00
Space group P6_3/mmc (No. 194)
Asymmetric unit:
As  0.1868  0.3737  0.2500 x6
W  0.3333  0.6667  0.7500 x2

Output
* raw total energy: -6.120 eV per atom
* energy of formation from the pure elements: 2.42 eV/f.u.
* polymorph energy (0 for the lowest one): 0.5117 eV/atom
* size of the total moment: 0.0001 μB per atom


(11)
Crystalline AsW at its relaxed geometry. Source: Alexandria, functional PBE-GGA.

Lattice parameters (Å, degrees): 8.8858 3.2285 6.8731 90.00 101.75 90.00
Space group Cm (No. 8)
Asymmetric unit:
As  0.0000  0.0000  0.0000 x2
As  0.0637  0.0000  0.5919 x2
As  0.2411  0.5000  0.3728 x2
W  0.2152  0.5000  0.9626 x2
W  0.3593  0.0000  0.6835 x2
W  0.4403  0.0000  0.2734 x2

Output
* raw total energy: -8.614 eV per atom
* energy of formation from the pure elements: 0.37 eV/f.u.
* size of the total moment: 0.0000 μB per atom


(12)
Crystalline As2W at its relaxed geometry. Source: Alexandria, functional PBE-GGA.

Lattice parameters (Å, degrees): 6.2625 6.2625 6.2625 90.00 90.00 90.00
Space group Pa-3 (No. 205)
Asymmetric unit:
As  0.1179  0.1179  0.1179 x8
W  0.0000  0.0000  0.5000 x4

Output
* raw total energy: -6.889 eV per atom
* energy of formation from the pure elements: 1.58 eV/f.u.
* size of the total moment: 0.6368 μB per atom


> Which of these has the highest size of the total moment?

As2W


Repeat the second record exactly.
Crystalline As5W at its relaxed geometry. Source: Alexandria, functional PBE-GGA.

Lattice parameters (Å, degrees): 5.0287 5.0287 4.8938 90.00 90.00 120.00
Space group P-62m (No. 189)
Asymmetric unit:
As  0.0000  0.7004  0.0000 x3
As  0.3333  0.6667  0.5000 x2
W  0.0000  0.0000  0.5000 x1

Output
* raw total energy: -5.589 eV per atom
* energy of formation from the pure elements: 2.67 eV/f.u.
* polymorph energy (0 for the lowest one): 0.2951 eV/atom
* size of the total moment: 0.0000 μB per atom